No. 1
A relaxed Na2PuCuP2 crystal. Source: Alexandria via LeMat-Bulk, functional PBE.

Output
- N(E_F): 18.64 states/eV/cell
- Electronic total energy: -5.852 eV per atom
- Magnetization: 10.00 μB per cell
- Calculated formation energy: -3.23 eV/f.u.

a = 4.1343 Å, b = 8.1131 Å, c = 7.0930 Å
α = 90.00°, β = 90.00°, γ = 90.00°
Fractional positions:
Na 0.0000 0.0847 0.0000
Na 0.0000 0.9153 0.5000
Na 0.5000 0.1532 0.3286
Na 0.5000 0.8468 0.8286
Pu 0.5000 0.4580 0.9688
Pu 0.5000 0.5420 0.4688
Cu 0.0000 0.3101 0.6505
Cu 0.0000 0.6899 0.1505
P 0.0000 0.3957 0.2443
P 0.0000 0.6043 0.7443
P 0.5000 0.1879 0.7200
P 0.5000 0.8121 0.2200

---

No. 2
A relaxed Ba2SrBi2 crystal. Source: Alexandria via LeMat-Bulk, functional PBE.

Output
- Electronic total energy: -3.550 eV per atom
- Offset from the most stable computed form: 0.0 kJ/mol of atoms
- Magnetization: 0.00 μB per cell
- Calculated formation energy: -4.46 eV/f.u.

a = 10.3690 Å, b = 10.3690 Å, c = 8.9432 Å
α = 90.00°, β = 90.00°, γ = 150.50°
Fractional positions:
Ba 0.0401 0.9599 0.5000
Ba 0.2014 0.7986 0.1543
Ba 0.7986 0.2014 0.6543
Ba 0.9599 0.0401 0.0000
Sr 0.4027 0.5973 0.3456
Sr 0.5973 0.4027 0.8456
Bi 0.1824 0.8176 0.7428
Bi 0.4373 0.5627 0.7134
Bi 0.5627 0.4373 0.2134
Bi 0.8176 0.1824 0.2428

---

Repeat the first record exactly.
A relaxed Na2PuCuP2 crystal. Source: Alexandria via LeMat-Bulk, functional PBE.

Output
- N(E_F): 18.64 states/eV/cell
- Electronic total energy: -5.852 eV per atom
- Magnetization: 10.00 μB per cell
- Calculated formation energy: -3.23 eV/f.u.

a = 4.1343 Å, b = 8.1131 Å, c = 7.0930 Å
α = 90.00°, β = 90.00°, γ = 90.00°
Fractional positions:
Na 0.0000 0.0847 0.0000
Na 0.0000 0.9153 0.5000
Na 0.5000 0.1532 0.3286
Na 0.5000 0.8468 0.8286
Pu 0.5000 0.4580 0.9688
Pu 0.5000 0.5420 0.4688
Cu 0.0000 0.3101 0.6505
Cu 0.0000 0.6899 0.1505
P 0.0000 0.3957 0.2443
P 0.0000 0.6043 0.7443
P 0.5000 0.1879 0.7200
P 0.5000 0.8121 0.2200